(a)
# YTiV2 | Alexandria | PBE | optimized geometry
data_YTiV2
_chemical_formula_sum 'Y4 Ti4 V8'
_cell_length_a 6.731
_cell_length_b 6.731
_cell_length_c 6.731
_cell_angle_alpha 90.00
_cell_angle_beta 90.00
_cell_angle_gamma 90.00
_space_group_name_H-M_alt 'F m -3 m'
_space_group_IT_number 225
_space_group_name_Hall '-F 4 2 3'
loop_
_atom_site_label
_atom_site_type_symbol
_atom_site_fract_x
_atom_site_fract_y
_atom_site_fract_z
Y1 Y 0.000 0.000 0.000
Ti1 Ti 0.000 0.000 0.500
V1 V 0.250 0.250 0.250
# V: 305.0 Å³/cell



(b)
# YTiV2 | Alexandria | PBE | optimized geometry
data_YTiV2
_chemical_formula_sum 'Y4 Ti4 V8'
_cell_length_a 7.248
_cell_length_b 7.248
_cell_length_c 5.690
_cell_angle_alpha 90.00
_cell_angle_beta 90.00
_cell_angle_gamma 90.00
_space_group_name_H-M_alt 'I -4 2 d'
_space_group_IT_number 122
_space_group_name_Hall 'I -4 2bw'
loop_
_atom_site_label
_atom_site_type_symbol
_atom_site_fract_x
_atom_site_fract_y
_atom_site_fract_z
Y1 Y 0.000 0.000 0.000
Ti1 Ti 0.000 0.000 0.500
V1 V 0.224 0.250 0.625
# V: 298.9 Å³/cell



Which structure wins on stability? (a) wins.